Entry 1:
YTaZn4 | PBE-GGA | relaxed

Cell: 5.259 5.259 5.259 Å, 60.00 60.00 60.00°
Positions (direct):
Y 0.000 0.000 0.000
Ta 0.250 0.250 0.250
Zn 0.129 0.624 0.624
Zn 0.624 0.129 0.624
Zn 0.624 0.624 0.129
Zn 0.624 0.624 0.624

Output
Its density of states at the Fermi level is 2.1 states/eV per cell. The calculation puts the formation energy at -0.0853 eV/atom.

Entry 2:
Y4Ta2Zn | PBE-GGA | relaxed

Cell: 7.979 7.979 7.979 Å, 139.33 139.33 58.88°
Positions (direct):
Y 0.000 0.500 0.500
Y 0.201 0.201 0.000
Y 0.500 0.000 0.500
Y 0.799 0.799 0.000
Ta 0.410 0.410 0.000
Ta 0.590 0.590 0.000
Zn 0.000 0.000 0.000

Output
Its density of states at the Fermi level is 11.0 states/eV per cell. The calculation puts the formation energy at 0.7555 eV/atom.

Entry 3:
YTa3Zn | PBE-GGA | relaxed

Cell: 4.827 4.827 4.827 Å, 90.00 90.00 90.00°
Positions (direct):
Y 0.000 0.000 0.000
Ta 0.000 0.500 0.500
Ta 0.500 0.000 0.500
Ta 0.500 0.500 0.000
Zn 0.500 0.500 0.500

Output
The offset from the most stable computed form is 0 meV per atom. Its density of states at the Fermi level is 7.5 states/eV per cell. The calculation puts the formation energy at 1.1014 eV/atom.

Entry 4:
Y2TaZn | PBE-GGA | relaxed

Cell: 10.805 10.805 10.805 Å, 157.08 157.08 32.64°
Positions (direct):
Y 0.123 0.625 0.998
Y 0.375 0.373 0.498
Y 0.627 0.125 0.002
Y 0.875 0.877 0.502
Ta 0.250 0.750 0.500
Ta 0.500 0.500 0.000
Zn 0.000 0.000 0.000
Zn 0.750 0.250 0.500

Output
Its density of states at the Fermi level is 8.4 states/eV per cell. The calculation puts the formation energy at 0.7246 eV/atom.

Entry 5:
Y2TaZn | PBE-GGA | relaxed

Cell: 5.635 5.635 5.635 Å, 133.94 133.94 67.19°
Positions (direct):
Y 0.000 0.000 0.000
Y 0.750 0.250 0.500
Ta 0.500 0.500 0.000
Zn 0.250 0.750 0.500

Output
Its density of states at the Fermi level is 5.6 states/eV per cell. The calculation puts the formation energy at 0.2571 eV/atom.

Entry 6:
Y2TaZn | PBE-GGA | relaxed

Cell: 5.442 5.442 5.442 Å, 130.15 130.15 73.17°
Positions (direct):
Y 0.250 0.750 0.500
Y 0.750 0.250 0.500
Ta 0.000 0.000 0.000
Zn 0.500 0.500 0.000

Output
Its density of states at the Fermi level is 4.1 states/eV per cell. The calculation puts the formation energy at 0.2482 eV/atom.